A plane-wave DFT calculation with PBE-GGA was carried out for PmGa2SiRu2 after structural relaxation.

Unit cell a=4.4329 b=4.4329 c=5.7021 alpha=90.00 beta=90.00 gamma=90.00
Last column: nearest neighbours and their distance in Å.
Space group P4/mmm (No. 123)
One atom of each set of equivalent atoms:
Pm 0.0000 0.0000 0.0000 [1 per cell]  2 Si 2.85
Ga 0.5000 0.5000 0.2301 [2 per cell]  1 Ga 2.62, 4 Ru 2.70
Si 0.0000 0.0000 0.5000 [1 per cell]  4 Ru 2.22
Ru 0.0000 0.5000 0.5000 [2 per cell]  2 Si 2.22

Summary:
- formation energy (no corrections) (eV per atom) = -0.412

---

A plane-wave DFT calculation with PBE-GGA was carried out for PmSmGaRu after structural relaxation.

Unit cell a=7.1487 b=7.1487 c=7.1487 alpha=90.00 beta=90.00 gamma=90.00
Last column: nearest neighbours and their distance in Å.
Space group F-43m (No. 216)
One atom of each set of equivalent atoms:
Pm 0.0000 0.0000 0.0000 [4 per cell]  4 Ru 3.10, 4 Ga 3.10
Sm 0.0000 0.0000 0.5000 [4 per cell]  4 Ru 3.10, 4 Ga 3.10
Ga 0.2500 0.2500 0.7500 [4 per cell]  4 Pm 3.10, 4 Sm 3.10
Ru 0.2500 0.2500 0.2500 [4 per cell]  4 Pm 3.10, 4 Sm 3.10

Summary:
- calculated formation energy (kJ/mol of formula units) = -132

---

A plane-wave DFT calculation with PBE-GGA was carried out for PmSmGaRu after structural relaxation.

Unit cell a=4.3615 b=4.0449 c=10.9638 alpha=90.00 beta=90.00 gamma=90.00
Last column: nearest neighbours and their distance in Å.
Space group Amm2 (No. 38)
One atom of each set of equivalent atoms:
Pm 0.0000 0.0000 0.0000 [2 per cell]  3 Ru 3.00-3.27, 4 Ga 3.09
Sm 0.5000 0.0000 0.2798 [2 per cell]  3 Ga 3.02-3.24, 4 Ru 3.09
Ga 0.5000 0.0000 0.5749 [2 per cell]  2 Ru 2.59
Ru 0.0000 0.0000 0.7022 [2 per cell]  2 Ga 2.59

Summary:
- calculated formation energy (kJ/mol of formula units) = -163

---

A plane-wave DFT calculation with PBE-GGA was carried out for PmGaSn2Ru2 after structural relaxation.

Unit cell a=4.6392 b=4.6392 c=6.0037 alpha=90.00 beta=90.00 gamma=90.00
Last column: nearest neighbours and their distance in Å.
Space group P4/mmm (No. 123)
One atom of each set of equivalent atoms:
Pm 0.0000 0.0000 0.0000 [1 per cell]  2 Ga 3.00
Ga 0.0000 0.0000 0.5000 [1 per cell]  4 Ru 2.32
Sn 0.5000 0.5000 0.2366 [2 per cell]  4 Ru 2.81, 1 Sn 2.84
Ru 0.0000 0.5000 0.5000 [2 per cell]  2 Ga 2.32

Summary:
- calculated formation energy (kJ/mol of formula units) = -117

---

A plane-wave DFT calculation with PBE-GGA was carried out for TbPmGaRu after structural relaxation.

Unit cell a=4.3405 b=4.0104 c=10.8287 alpha=90.00 beta=90.00 gamma=90.00
Last column: nearest neighbours and their distance in Å.
Space group Amm2 (No. 38)
One atom of each set of equivalent atoms:
Tb 0.0000 0.0000 0.0000 [2 per cell]  3 Ga 2.98-3.21, 4 Ru 3.06
Pm 0.5000 0.0000 0.7174 [2 per cell]  3 Ru 3.04-3.13, 4 Ga 3.08
Ga 0.0000 0.0000 0.2967 [2 per cell]  2 Ru 2.59
Ru 0.5000 0.0000 0.4281 [2 per cell]  2 Ga 2.59

Summary:
- calculated formation energy (kJ/mol of formula units) = -171

---

A plane-wave DFT calculation with PBE-GGA was carried out for TbPmGaRu after structural relaxation.

Unit cell a=7.0883 b=7.0883 c=7.0883 alpha=90.00 beta=90.00 gamma=90.00
Last column: nearest neighbours and their distance in Å.
Space group F-43m (No. 216)
One atom of each set of equivalent atoms:
Tb 0.0000 0.0000 0.0000 [4 per cell]  4 Ru 3.07, 4 Ga 3.07
Pm 0.0000 0.0000 0.5000 [4 per cell]  4 Ga 3.07, 4 Ru 3.07
Ga 0.2500 0.2500 0.2500 [4 per cell]  4 Tb 3.07, 4 Pm 3.07
Ru 0.2500 0.2500 0.7500 [4 per cell]  4 Tb 3.07, 4 Pm 3.07

Summary:
- calculated formation energy (kJ/mol of formula units) = -147

---

A plane-wave DFT calculation with PBE-GGA was carried out for PmThGaRu after structural relaxation.

Unit cell a=7.2108 b=7.2108 c=7.2108 alpha=90.00 beta=90.00 gamma=90.00
Last column: nearest neighbours and their distance in Å.
Space group F-43m (No. 216)
One atom of each set of equivalent atoms:
Pm 0.0000 0.0000 0.0000 [4 per cell]  4 Ga 3.12, 4 Ru 3.12
Th 0.0000 0.0000 0.5000 [4 per cell]  4 Ru 3.12, 4 Ga 3.12
Ga 0.2500 0.2500 0.2500 [4 per cell]  4 Th 3.12, 4 Pm 3.12
Ru 0.2500 0.2500 0.7500 [4 per cell]  4 Th 3.12, 4 Pm 3.12

Summary:
- calculated formation energy (kJ/mol of formula units) = -121

---

A plane-wave DFT calculation with PBE-GGA was carried out for PmThGaRu after structural relaxation.

Unit cell a=3.8670 b=4.2025 c=11.8855 alpha=90.00 beta=90.00 gamma=90.00
Last column: nearest neighbours and their distance in Å.
Space group Amm2 (No. 38)
One atom of each set of equivalent atoms:
Pm 0.0000 0.0000 0.0000 [2 per cell]  4 Ga 3.01, 1 Ru 3.12
Th 0.5000 0.0000 0.2768 [2 per cell]  4 Ru 2.89, 2 Ga 3.14
Ga 0.5000 0.0000 0.5809 [2 per cell]  2 Ru 2.68
Ru 0.0000 0.0000 0.7373 [2 per cell]  2 Ga 2.68, 4 Th 2.89

Summary:
- calculated formation energy (kJ/mol of formula units) = -215

---

What is the formula in the first record?
PmGa2SiRu2